# 1
The following is a DFT calculation (GGA-PBE) of a geometry-optimized LiHfMo structure.

Values from the calculation:
- space group = No. 216
- energy above the lowest structure with this stoichiometry (kJ/mol of formula units) = 121

Cell lengths 4.4491, 4.4491, 4.4491 Å; angles 60.00, 60.00, 60.00 degrees
Positions (direct):
Hf 0.0000 0.0000 0.0000
Li 0.2500 0.2500 0.2500
Mo 0.7500 0.7500 0.7500

---

# 2
The following is a DFT calculation (GGA-PBE) of a geometry-optimized Li2HfMo structure.

Values from the calculation:
- space group = No. 216

Cell lengths 4.5510, 4.5510, 4.5510 Å; angles 60.00, 60.00, 60.00 degrees
Positions (direct):
Hf 0.5000 0.5000 0.5000
Mo 0.2500 0.2500 0.2500
Li 0.0000 0.0000 0.0000
Li 0.7500 0.7500 0.7500

---

# 3
The following is a DFT calculation (GGA-PBE) of a geometry-optimized LiHfReMo structure.

Values from the calculation:
- space group = No. 216
- energy above the lowest structure with this stoichiometry (kJ/mol of formula units) = 32

Cell lengths 4.4686, 4.4686, 4.4686 Å; angles 60.00, 60.00, 60.00 degrees
Positions (direct):
Re 0.5000 0.5000 0.5000
Mo 0.2500 0.2500 0.2500
Li 0.7500 0.7500 0.7500
Hf 0.0000 0.0000 0.0000

---

# 4
The following is a DFT calculation (GGA-PBE) of a geometry-optimized LiHfReMo structure.

Values from the calculation:
- space group = No. 216
- energy above the lowest structure with this stoichiometry (kJ/mol of formula units) = 0

Cell lengths 4.4888, 4.4888, 4.4888 Å; angles 60.00, 60.00, 60.00 degrees
Positions (direct):
Re 0.2500 0.2500 0.2500
Hf 0.5000 0.5000 0.5000
Mo 0.0000 0.0000 0.0000
Li 0.7500 0.7500 0.7500

---

# 5
The following is a DFT calculation (GGA-PBE) of a geometry-optimized LiHfTcMo structure.

Values from the calculation:
- space group = No. 216
- energy above the lowest structure with this stoichiometry (kJ/mol of formula units) = 26

Cell lengths 4.4690, 4.4690, 4.4690 Å; angles 60.00, 60.00, 60.00 degrees
Positions (direct):
Mo 0.2500 0.2500 0.2500
Tc 0.5000 0.5000 0.5000
Li 0.7500 0.7500 0.7500
Hf 0.0000 0.0000 0.0000

---

# 6
The following is a DFT calculation (GGA-PBE) of a geometry-optimized LiHfTcMo structure.

Values from the calculation:
- space group = No. 216
- energy above the lowest structure with this stoichiometry (kJ/mol of formula units) = 0

Cell lengths 4.4794, 4.4794, 4.4794 Å; angles 60.00, 60.00, 60.00 degrees
Positions (direct):
Li 0.7500 0.7500 0.7500
Tc 0.2500 0.2500 0.2500
Mo 0.0000 0.0000 0.0000
Hf 0.5000 0.5000 0.5000

---

Number 1: uncorrected energy -18.66 eV for the cell shown, total moment 1.19 μB/cell. Number 2: uncorrected energy -22.25 eV for the cell shown, total moment 0.11 μB/cell. Number 3: uncorrected energy -34.67 eV for the cell shown, total moment 0.00 μB/cell. Number 4: uncorrected energy -35.01 eV for the cell shown, total moment 0.00 μB/cell. Number 5: uncorrected energy -32.70 eV for the cell shown, total moment 0.00 μB/cell. Number 6: uncorrected energy -32.97 eV for the cell shown, total moment 0.00 μB/cell.